# Al4GaW

Al4GaW after structural relaxation (PBE, Alexandria via LeMat-Bulk).

Values from the calculation:
Volume in Å³/cell: 188.9
Symmetry: Cmc2_1
Polymorph energy (0 for the lowest one) in meV/atom: 0
Formation enthalpy at 0 K in kcal/mol of atoms: -1.01

a b c (Å): 6.619 6.619 8.132
angles (deg): 90.00 90.00 147.98
Element x y z (fractional)
1 Al 0.006 0.994 0.500
2 Al 0.170 0.830 0.249
3 Al 0.313 0.687 0.994
4 Al 0.493 0.507 0.754
5 Al 0.507 0.493 0.254
6 Al 0.687 0.313 0.494
7 Al 0.830 0.170 0.749
8 Al 0.994 0.006 0.000
9 Ga 0.164 0.836 0.739
10 Ga 0.836 0.164 0.239
11 W 0.347 0.653 0.492
12 W 0.653 0.347 0.992


# Li2ZrSiS

Li2ZrSiS after structural relaxation (PBE, Alexandria via LeMat-Bulk).

Values from the calculation:
Volume in Å³/cell: 140.6
Symmetry: P4/mmm
E in eV per atom: -3.652

a b c (Å): 5.436 5.436 4.757
angles (deg): 90.00 90.00 90.00
Element x y z (fractional)
1 Li 0.000 0.500 0.000
2 Li 0.500 0.000 0.000
3 Zr 0.000 0.000 0.000
4 Si 0.500 0.500 0.500
5 S 0.000 0.000 0.500


# Gd2HgPd

Gd2HgPd after structural relaxation (PBE, Alexandria via LeMat-Bulk).

Values from the calculation:
Volume in Å³/cell: 97.1
Symmetry: Fm-3m
Polymorph energy (0 for the lowest one) in meV/atom: 36
Formation enthalpy at 0 K in kcal/mol of atoms: -14.48

a b c (Å): 5.159 5.159 5.159
angles (deg): 60.00 60.00 60.00
Element x y z (fractional)
1 Gd 0.250 0.250 0.250
2 Gd 0.750 0.750 0.750
3 Hg 0.000 0.000 0.000
4 Pd 0.500 0.500 0.500


# Cs2In3Au2

Cs2In3Au2 after structural relaxation (PBE, Alexandria via LeMat-Bulk).

Values from the calculation:
Volume in Å³/cell: 238.0
Symmetry: C2/m
Formation enthalpy at 0 K in kcal/mol of atoms: -5.46

a b c (Å): 7.418 7.418 8.776
angles (deg): 123.91 123.91 37.60
Element x y z (fractional)
1 Cs 0.136 0.136 0.273
2 Cs 0.864 0.864 0.727
3 In 0.346 0.346 0.066
4 In 0.500 0.500 0.500
5 In 0.654 0.654 0.934
6 Au 0.120 0.120 0.710
7 Au 0.880 0.880 0.290